# 1
## Nd3NiSn3Pt2 (GGA-PBE)

Data for a geometry-optimized Nd3NiSn3Pt2 structure.

CIF file:
```
data_Nd3NiSn3Pt2
_chemical_formula_sum 'Nd3 Ni1 Sn3 Pt2'
_space_group_name_H-M_alt 'P -6 2 m'
_space_group_IT_number 189
_space_group_name_Hall 'P -6 -2'
_cell_length_a 7.6389
_cell_length_b 7.6389
_cell_length_c 4.0533
_cell_angle_alpha 90.00
_cell_angle_beta 90.00
_cell_angle_gamma 120.00
loop_
_atom_site_label
_atom_site_fract_x
_atom_site_fract_y
_atom_site_fract_z
Nd1 0.0000 0.4074 0.0000
Ni1 0.0000 0.0000 0.0000
Sn1 0.0000 0.7562 0.5000
Pt1 0.3333 0.6667 0.5000
```



# 2
## KHoNiSe3 (GGA-PBE)

Data for a geometry-optimized KHoNiSe3 structure.

CIF file:
```
data_KHoNiSe3
_chemical_formula_sum 'K4 Ho4 Ni4 Se12'
_space_group_name_H-M_alt 'P n m a'
_space_group_IT_number 62
_space_group_name_Hall '-P 2ac 2n'
_cell_length_a 11.050
_cell_length_b 4.266
_cell_length_c 12.388
_cell_angle_alpha 90.00
_cell_angle_beta 90.00
_cell_angle_gamma 90.00
loop_
_atom_site_label
_atom_site_fract_x
_atom_site_fract_y
_atom_site_fract_z
K1 0.164 0.250 0.004
Ho1 0.007 0.250 0.335
Ni1 0.235 0.250 0.717
Se1 0.051 0.750 0.185
Se2 0.117 0.250 0.553
Se3 0.224 0.750 0.793
```



no.,total magnetic moment (μB/f.u.),E (eV per atom),ρ (Mg/m³)
1,0.003,-5.822,10.034
2,0.048,-4.747,5.682